Entry from Alexandria: a relaxed structure of HfPa2Rh6 (GGA-PBE).

```
HfPa2Rh6
1.0
-1.8380 3.6947 6.5237
1.8380 -3.6947 6.5237
1.8380 3.6947 -6.5237
Hf Pa Rh
1 2 6
Direct
0.0000 0.0000 0.0000
0.3396 0.3396 0.0000
0.6604 0.6604 0.0000
0.0712 0.8333 0.2379
0.2581 0.5000 0.7581
0.4045 0.1667 0.2379
0.5955 0.8333 0.7621
0.7419 0.5000 0.2419
0.9288 0.1667 0.7621
```

Calculated values
Energy of formation from the pure elements = -0.602 eV per atom
Symmetry = Immm, No. 71
Mass density = 11.8 g/cm3